1.
Here is a relaxed structure of NaZrTe2 from Alexandria via LeMat-Bulk. Energies are from PBE.

- Total moment: 0.0 μB per formula unit
- E_tot: -19.76 eV/cell
- Space group: No. 160

Cell: 4.0606 4.0606 8.3734 Å, 75.97 75.97 60.00°
Sites, in units of the cell vectors:
Te  0.2590  0.2590  0.2231
Te  0.0744  0.0744  0.7768
Na  0.5000  0.5000  0.5000
Zr  0.6666  0.6666  0.0001

2.
Here is a relaxed structure of Ac2NdCu6 from Alexandria via LeMat-Bulk. Energies are from PBE.

- Total moment: 0.0 μB per formula unit
- ΔH_f (0 K): -0.20 eV per atom
- Space group: No. 191

Cell: 3.9714 7.5560 7.5560 Å, 120.00 90.00 90.00°
Sites, in units of the cell vectors:
Cu  0.5000  0.3300  0.0000
Cu  0.5000  0.6700  0.0000
Cu  0.5000  0.6700  0.6700
Nd  0.0000  0.0000  0.0000
Cu  0.5000  0.3300  0.3300
Cu  0.5000  0.0000  0.3300
Ac  0.0000  0.6667  0.3333
Cu  0.5000  0.0000  0.6700
Ac  0.0000  0.3333  0.6667

3.
Here is a relaxed structure of BaSi2Au from Alexandria via LeMat-Bulk. Energies are from PBE.

- Total moment: 0.0 μB per formula unit
- E_tot: -34.39 eV/cell
- Space group: No. 141

Cell: 4.9717 4.9717 9.4698 Å, 74.78 74.78 90.00°
Sites, in units of the cell vectors:
Au  0.7500  0.2500  0.5000
Ba  0.2500  0.7500  0.5000
Si  0.8750  0.1249  0.7500
Ba  0.5000  0.5000  0.0000
Si  0.8751  0.6250  0.2500
Au  0.0000  0.0000  0.0000
Si  0.8749  0.1250  0.2500
Si  0.3750  0.1251  0.7500

4.
Here is a relaxed structure of CaNp3P4 from Alexandria via LeMat-Bulk. Energies are from PBE.

- Total moment: 10.9 μB per formula unit
- ΔH_f (0 K): -0.92 eV per atom
- Space group: No. 65

Cell: 3.9942 6.9206 6.9201 Å, 70.63 90.00 90.00°
Each line ends with the local moment (μB).
Sites, in units of the cell vectors:
P  0.0000  0.7631  0.7371  -0.12
P  0.4999  0.2450  0.7449  -0.13
Np  0.5000  0.0001  0.5000  3.41
P  0.0000  0.2372  0.2628  -0.12
Ca  0.5000  0.5001  0.0000  0.00
P  0.5000  0.7552  0.2550  -0.13
Np  0.0000  0.5001  0.5000  3.58
Np  0.0000  0.0001  0.0000  3.58

5.
Here is a relaxed structure of KSbPd from Alexandria via LeMat-Bulk. Energies are from PBE.

- Total moment: 0.0 μB per formula unit
- E_tot: -23.79 eV/cell
- Space group: No. 63

Cell: 3.3624 7.2508 6.8034 Å, 90.00 90.00 103.41°
Sites, in units of the cell vectors:
Pd  0.5000  0.0000  0.0000
K  0.1736  0.3473  0.7500
Sb  0.0953  0.1906  0.2500
K  0.8264  0.6527  0.2500
Sb  0.9047  0.8094  0.7500
Pd  0.5000  0.0000  0.5000

6.
Here is a relaxed structure of Mg2CoW from Alexandria via LeMat-Bulk. Energies are from PBE.

- Total moment: 0.0 μB per formula unit
- ΔH_f (0 K): 0.49 eV per atom
- Space group: No. 123

Cell: 4.4257 3.7314 3.7314 Å, 90.00 90.00 90.00°
Sites, in units of the cell vectors:
Mg  0.0000  0.0000  0.0000
Co  0.5000  0.0000  0.5000
Mg  0.0000  0.5000  0.5000
W  0.5000  0.5000  0.0000

> Number 4 is which compound?

CaNp3P4

Copy entry 4 word for word.
Here is a relaxed structure of CaNp3P4 from Alexandria via LeMat-Bulk. Energies are from PBE.

- Total moment: 10.9 μB per formula unit
- ΔH_f (0 K): -0.92 eV per atom
- Space group: No. 65

Cell: 3.9942 6.9206 6.9201 Å, 70.63 90.00 90.00°
Each line ends with the local moment (μB).
Sites, in units of the cell vectors:
P  0.0000  0.7631  0.7371  -0.12
P  0.4999  0.2450  0.7449  -0.13
Np  0.5000  0.0001  0.5000  3.41
P  0.0000  0.2372  0.2628  -0.12
Ca  0.5000  0.5001  0.0000  0.00
P  0.5000  0.7552  0.2550  -0.13
Np  0.0000  0.5001  0.5000  3.58
Np  0.0000  0.0001  0.0000  3.58

> Which value of total moment does entry 5 give?

0.0 μB per formula unit